No. 1
The following is a DFT calculation (PBE) of a relaxed Te3IrF crystal.

## Properties
Total energy = -3.719 eV/atom
V = 141 Å³/f.u.
Space group = No. 221
Energy above the most stable polymorph in this dataset = 0.00 eV per formula unit
Total moment = 0.000 μB/cell
ρ = 6.99 g cm⁻³

Structure (POSCAR):
```
Te3IrF
1.0
5.2073 0.0000 0.0000
0.0000 5.2073 0.0000
0.0000 0.0000 5.2073
Te Ir F
3 1 1
Direct
0.0000 0.0000 0.5000
0.0000 0.5000 0.0000
0.5000 0.0000 0.0000
0.0000 0.0000 0.0000
0.5000 0.5000 0.5000
```

No. 2
The following is a DFT calculation (PBE) of a relaxed TeIrF2 crystal.

## Properties
Total energy = -4.176 eV/atom
V = 76 Å³/f.u.
Space group = No. 122
Energy above the most stable polymorph in this dataset = 1.19 eV per formula unit
Total moment = 1.111 μB/cell
ρ = 7.85 g cm⁻³

Structure (POSCAR):
```
TeIrF2
1.0
-3.8427 3.8427 2.5627
3.8427 -3.8427 2.5627
3.8427 3.8427 -2.5627
Te Ir F
2 2 4
Direct
0.0000 0.0000 0.0000
0.7500 0.2500 0.5000
0.2500 0.7500 0.5000
0.5000 0.5000 0.0000
0.2601 0.6250 0.1351
0.3750 0.5101 0.6351
0.4899 0.1250 0.8649
0.8750 0.7399 0.3649
```

- The lowest V belongs to which entry?
  TeIrF2

- Look up the total energy of the first one.
  -3.719 eV/atom